A plane-wave DFT calculation with PBE was carried out for a geometry-optimized Li2BiSb2 structure.

Cell: 6.630 6.630 6.630 Å, 138.81 138.81 59.66°
Atoms (fractional coordinates):
Li: 0.250 0.750 0.500
Li: 0.750 0.250 0.500
Bi: 0.000 0.000 0.000
Sb: 0.380 0.380 0.000
Sb: 0.620 0.620 0.000

The calculation puts the calculated total energy at -3.314 eV/atom. Its space group is No. 139. The volume is 25.03 Å³/atom. Its energy above the most stable polymorph in this dataset is 173 meV/atom. The total magnetization comes out at 0.0 μB per formula unit. The calculation puts the uncorrected formation energy at -0.123 eV/atom.

---

A plane-wave DFT calculation with PBE was carried out for a geometry-optimized CaBeAl3 structure.

Cell: 4.609 4.609 4.609 Å, 90.00 90.00 90.00°
Atoms (fractional coordinates):
Ca: 0.000 0.000 0.000
Be: 0.500 0.500 0.500
Al: 0.000 0.500 0.500
Al: 0.500 0.000 0.500
Al: 0.500 0.500 0.000

The calculation puts the calculated total energy at -3.207 eV/atom. Its space group is No. 221. The volume is 19.58 Å³/atom. Its energy above the most stable polymorph in this dataset is 0 meV/atom. The total magnetization comes out at 0.0 μB per formula unit. The calculation puts the formation energy at 0.18 eV per atom.

---

A plane-wave DFT calculation with PBE was carried out for a geometry-optimized GdAsH structure.

Cell: 14.898 4.112 7.467 Å, 90.00 90.00 90.00°
Atoms (fractional coordinates):
Gd: 0.114 0.242 0.085
Gd: 0.114 0.758 0.585
Gd: 0.386 0.242 0.585
Gd: 0.386 0.758 0.085
Gd: 0.614 0.242 0.915
Gd: 0.614 0.758 0.415
Gd: 0.886 0.242 0.415
Gd: 0.886 0.758 0.915
As: 0.000 0.248 0.750
As: 0.000 0.752 0.250
As: 0.250 0.500 0.341
As: 0.250 0.500 0.841
As: 0.500 0.248 0.250
As: 0.500 0.752 0.750
As: 0.750 0.500 0.159
As: 0.750 0.500 0.659
H: 0.000 0.271 0.250
H: 0.000 0.729 0.750
H: 0.250 0.500 0.089
H: 0.250 0.500 0.589
H: 0.500 0.271 0.750
H: 0.500 0.729 0.250
H: 0.750 0.500 0.411
H: 0.750 0.500 0.911

The calculation puts the calculated total energy at -7.900 eV/atom. Its space group is No. 54. The volume is 19.06 Å³/atom. Its energy above the most stable polymorph in this dataset is 242 meV/atom. The total magnetization comes out at 7.0 μB per formula unit.

---

A plane-wave DFT calculation with PBE was carried out for a geometry-optimized ZrNiSe3 structure.

Cell: 5.200 5.200 5.200 Å, 90.00 90.00 90.00°
Atoms (fractional coordinates):
Zr: 0.000 0.000 0.000
Ni: 0.500 0.500 0.500
Se: 0.000 0.000 0.500
Se: 0.000 0.500 0.000
Se: 0.500 0.000 0.000

The calculation puts the calculated total energy at -4.813 eV/atom. Its space group is No. 221. The volume is 28.12 Å³/atom. Its energy above the most stable polymorph in this dataset is 937 meV/atom. The total magnetization comes out at 1.6 μB per formula unit. The calculation puts the uncorrected formation energy at 0.144 eV/atom.

---

A plane-wave DFT calculation with PBE was carried out for a geometry-optimized Ti3ReSe structure.

Cell: 4.555 4.555 4.555 Å, 90.00 90.00 90.00°
Atoms (fractional coordinates):
Ti: 0.000 0.000 0.500
Ti: 0.000 0.500 0.000
Ti: 0.500 0.000 0.000
Re: 0.500 0.500 0.500
Se: 0.000 0.000 0.000

The calculation puts the calculated total energy at -7.443 eV/atom. Its space group is No. 221. The volume is 18.90 Å³/atom. The total magnetization comes out at 1.1 μB per formula unit. The calculation puts the uncorrected formation energy at 0.480 eV/atom.

---

A plane-wave DFT calculation with PBE was carried out for a geometry-optimized CrNi2Pd9 structure.

Cell: 3.879 3.879 11.664 Å, 90.00 90.00 90.00°
Atoms (fractional coordinates):
Cr: 0.000 0.000 0.000
Ni: 0.000 0.000 0.338
Ni: 0.000 0.000 0.662
Pd: 0.000 0.500 0.168
Pd: 0.000 0.500 0.500
Pd: 0.000 0.500 0.832
Pd: 0.500 0.000 0.168
Pd: 0.500 0.000 0.500
Pd: 0.500 0.000 0.832
Pd: 0.500 0.500 0.000
Pd: 0.500 0.500 0.334
Pd: 0.500 0.500 0.666

The calculation puts the calculated total energy at -5.664 eV/atom. Its space group is No. 123. The volume is 14.63 Å³/atom. The total magnetization comes out at 6.1 μB per formula unit. The calculation puts the formation energy at 0.00 eV per atom.

---

Look up the calculated total energy of the first one.
-3.314 eV/atom